1.
DFT (PBE) results for a geometry-optimized CoBiC3 structure.

a = 3.913 Å, b = 3.913 Å, c = 3.913 Å
α = 90.00°, β = 90.00°, γ = 90.00°
Positions (direct):
C 0.000 0.500 0.000
C 0.000 0.000 0.500
C 0.500 0.000 0.000
Co 0.000 0.000 0.000
Bi 0.500 0.500 0.500

Results
Fermi-level density of states: 0.85 states/eV per atom
space-group type: Pm-3m (221)
ΔH_f (0 K): 10.304 eV per formula unit
excess energy over the best structure of this formula in the dataset: 0.0 kJ per mole of atoms
total DFT energy (no corrections): -28.4 eV per cell

---

2.
DFT (PBE) results for a geometry-optimized CoBiC2 structure.

a = 4.981 Å, b = 4.981 Å, c = 5.855 Å
α = 64.83°, β = 64.83°, γ = 90.00°
Positions (direct):
C 0.520 0.125 0.250
C 0.230 0.625 0.250
C 0.375 0.480 0.750
C 0.875 0.770 0.750
Co 0.500 0.500 0.000
Co 0.250 0.750 0.500
Bi 0.000 0.000 0.000
Bi 0.750 0.250 0.500

Results
Fermi-level density of states: 0.44 states/eV per atom
space-group type: I-42d (122)
ΔH_f (0 K): 4.764 eV per formula unit
total DFT energy (no corrections): -49.3 eV per cell

---

3.
DFT (PBE) results for a geometry-optimized Co2BiC structure.

a = 4.867 Å, b = 4.867 Å, c = 6.190 Å
α = 66.85°, β = 66.85°, γ = 90.00°
Positions (direct):
C 0.500 0.500 0.000
C 0.250 0.750 0.500
Co 0.480 0.125 0.250
Co 0.270 0.625 0.250
Co 0.375 0.520 0.750
Co 0.875 0.730 0.750
Bi 0.000 0.000 0.000
Bi 0.750 0.250 0.500

Results
Fermi-level density of states: 0.83 states/eV per atom
space-group type: I-42d (122)
ΔH_f (0 K): 2.030 eV per formula unit
excess energy over the best structure of this formula in the dataset: 0.0 kJ per mole of atoms
total DFT energy (no corrections): -50.6 eV per cell

---

4.
DFT (PBE) results for a geometry-optimized HfCoBiC2 structure.

a = 3.927 Å, b = 5.248 Å, c = 3.927 Å
α = 90.00°, β = 90.00°, γ = 90.00°
Positions (direct):
Co 0.000 0.000 0.000
C 0.000 0.000 0.500
C 0.500 0.000 0.000
Hf 0.500 0.500 0.500
Bi 0.000 0.500 0.000

Results
Fermi-level density of states: 0.89 states/eV per atom
space-group type: P4/mmm (123)
ΔH_f (0 K): 7.868 eV per formula unit
total DFT energy (no corrections): -31.5 eV per cell

---

5.
DFT (PBE) results for a geometry-optimized La2CoBiC structure.

a = 5.223 Å, b = 4.780 Å, c = 5.223 Å
α = 90.00°, β = 90.00°, γ = 90.00°
Positions (direct):
C 0.500 0.500 0.500
Co 0.000 0.000 0.000
Bi 0.000 0.500 0.000
La 0.000 0.000 0.500
La 0.500 0.000 0.000

Results
Fermi-level density of states: 0.80 states/eV per atom
space-group type: P4/mmm (123)
ΔH_f (0 K): 3.435 eV per formula unit
excess energy over the best structure of this formula in the dataset: 103.0 kJ per mole of atoms
total DFT energy (no corrections): -26.6 eV per cell

---

6.
DFT (PBE) results for a geometry-optimized La2CoBiC structure.

a = 5.561 Å, b = 5.561 Å, c = 3.730 Å
α = 90.00°, β = 90.00°, γ = 90.00°
Positions (direct):
C 0.000 0.000 0.000
Co 0.000 0.000 0.500
Bi 0.500 0.500 0.500
La 0.000 0.500 0.000
La 0.500 0.000 0.000

Results
Fermi-level density of states: 1.01 states/eV per atom
space-group type: P4/mmm (123)
ΔH_f (0 K): -1.904 eV per formula unit
excess energy over the best structure of this formula in the dataset: 0.0 kJ per mole of atoms
total DFT energy (no corrections): -32.0 eV per cell

---

7.
DFT (PBE) results for a geometry-optimized CoBiOsC2 structure.

a = 4.358 Å, b = 5.180 Å, c = 4.358 Å
α = 90.00°, β = 90.00°, γ = 90.00°
Positions (direct):
Co 0.500 0.500 0.500
C 0.000 0.000 0.500
C 0.500 0.000 0.000
Os 0.000 0.500 0.000
Bi 0.000 0.000 0.000

Results
Fermi-level density of states: 2.32 states/eV per atom
space-group type: P4/mmm (123)
ΔH_f (0 K): 18.569 eV per formula unit
total DFT energy (no corrections): -22.1 eV per cell

---

8.
DFT (PBE) results for a geometry-optimized RbCoBiC2 structure.

a = 4.718 Å, b = 4.850 Å, c = 4.718 Å
α = 90.00°, β = 90.00°, γ = 90.00°
Positions (direct):
C 0.000 0.000 0.500
C 0.500 0.000 0.000
Co 0.000 0.500 0.000
Bi 0.500 0.500 0.500
Rb 0.000 0.000 0.000

Results
Fermi-level density of states: 0.72 states/eV per atom
space-group type: P4/mmm (123)
ΔH_f (0 K): 16.941 eV per formula unit
total DFT energy (no corrections): -13.5 eV per cell